{
  "formula": "CdNi2OsO6",
  "functional": "PBE+U",
  "state": "optimized geometry",
  "cell": [[2.642, 1.526, 4.772], [-2.642, 1.526, 4.772], [0.000, -3.051, 4.772]],
  "species": ["Cd", "Ni", "Ni", "Os", "O", "O", "O", "O", "O", "O"],
  "fractional_positions": [[0.000, 0.000, 0.000], [0.283, 0.283, 0.283], [0.790, 0.790, 0.790], [0.482, 0.482, 0.482], [0.092, 0.657, 0.425], [0.223, 0.555, 0.862], [0.425, 0.092, 0.657], [0.555, 0.862, 0.223], [0.657, 0.425, 0.092], [0.862, 0.223, 0.555]],
  "sg": "R3, No. 146",
  "final_energy_ev_per_atom": -5.6639,
  "total_magnetization_mub_per_fu": 6.03
}